Entry one
Here is Sc3SnHg2 after structural relaxation from Alexandria. Energies are from GGA-PBE.

Lattice parameters (Å, degrees): 5.003 15.121 3.519 90.00 90.00 90.00
Fractional positions:
Sc (0.000, 0.000, 0.000)
Sc (0.000, 0.334, 0.000)
Sc (0.000, 0.666, 0.000)
Sc (0.500, 0.166, 0.000)
Sc (0.500, 0.500, 0.000)
Sc (0.500, 0.834, 0.000)
Sn (0.000, 0.500, 0.500)
Sn (0.500, 0.000, 0.500)
Hg (0.000, 0.174, 0.500)
Hg (0.000, 0.826, 0.500)
Hg (0.500, 0.326, 0.500)
Hg (0.500, 0.674, 0.500)

Entry two
Here is Sc3SnHg2 after structural relaxation from Alexandria. Energies are from GGA-PBE.

Lattice parameters (Å, degrees): 4.998 4.998 6.149 90.00 90.00 120.00
Fractional positions:
Sc (0.000, 0.000, 0.000)
Sc (0.333, 0.667, 0.660)
Sc (0.667, 0.333, 0.340)
Sn (0.000, 0.000, 0.500)
Hg (0.333, 0.667, 0.142)
Hg (0.667, 0.333, 0.858)

Of them, entry two has the highest stability.

Entry one
Here is ScSn3Hg after structural relaxation from Alexandria. Energies are from GGA-PBE.

Lattice parameters (Å, degrees): 5.564 5.564 5.564 90.00 90.00 90.00
Fractional positions:
Sc (0.000, 0.000, 0.000)
Sn (0.000, 0.000, 0.500)
Sn (0.000, 0.500, 0.000)
Sn (0.500, 0.000, 0.000)
Hg (0.500, 0.500, 0.500)

Entry two
Here is ScSn3Hg after structural relaxation from Alexandria. Energies are from GGA-PBE.

Lattice parameters (Å, degrees): 5.488 5.488 5.488 90.00 90.00 90.00
Fractional positions:
Sc (0.000, 0.000, 0.000)
Sn (0.000, 0.500, 0.500)
Sn (0.500, 0.000, 0.500)
Sn (0.500, 0.500, 0.000)
Hg (0.500, 0.500, 0.500)

Of them, entry one has the highest stability.

Entry one
Here is SrSc3Hg after structural relaxation from Alexandria. Energies are from GGA-PBE.

Lattice parameters (Å, degrees): 5.274 5.274 5.274 90.00 90.00 90.00
Fractional positions:
Sr (0.000, 0.000, 0.000)
Sc (0.000, 0.000, 0.500)
Sc (0.000, 0.500, 0.000)
Sc (0.500, 0.000, 0.000)
Hg (0.500, 0.500, 0.500)

Entry two
Here is SrSc3Hg after structural relaxation from Alexandria. Energies are from GGA-PBE.

Lattice parameters (Å, degrees): 5.445 5.445 5.445 90.00 90.00 90.00
Fractional positions:
Sr (0.000, 0.000, 0.000)
Sc (0.000, 0.500, 0.500)
Sc (0.500, 0.000, 0.500)
Sc (0.500, 0.500, 0.000)
Hg (0.500, 0.500, 0.500)

Of them, entry two has the highest stability.

Entry one
Here is ScTa3Hg after structural relaxation from Alexandria. Energies are from GGA-PBE.

Lattice parameters (Å, degrees): 4.768 4.768 4.768 90.00 90.00 90.00
Fractional positions:
Sc (0.000, 0.000, 0.000)
Ta (0.000, 0.000, 0.500)
Ta (0.000, 0.500, 0.000)
Ta (0.500, 0.000, 0.000)
Hg (0.500, 0.500, 0.500)

Entry two
Here is ScTa3Hg after structural relaxation from Alexandria. Energies are from GGA-PBE.

Lattice parameters (Å, degrees): 5.048 5.048 5.048 90.00 90.00 90.00
Fractional positions:
Sc (0.000, 0.000, 0.000)
Ta (0.000, 0.500, 0.500)
Ta (0.500, 0.000, 0.500)
Ta (0.500, 0.500, 0.000)
Hg (0.500, 0.500, 0.500)

Of them, entry one has the highest stability.